{"formula": "SmScC", "functional": "PBE-GGA", "state": "relaxed", "cell": [[6.9801, 0.0000, 0.0000], [0.0000, 6.4400, 0.6720], [0.0000, 3.7217, 6.1060]], "species": ["Sm", "Sm", "Sm", "Sm", "Sc", "Sc", "Sc", "Sc", "C", "C", "C", "C"], "frac_coords": [[0.8761, 0.7773, 0.9808], [0.3761, 0.7227, 0.5192], [0.1239, 0.2227, 0.0192], [0.6239, 0.2773, 0.4808], [0.8725, 0.7095, 0.4790], [0.3725, 0.7905, 0.0210], [0.1275, 0.2905, 0.5210], [0.6275, 0.2095, 0.9790], [0.6244, 0.7648, 0.2404], [0.1244, 0.7352, 0.2596], [0.3756, 0.2352, 0.7596], [0.8756, 0.2648, 0.7404]], "e_above_lowest_polymorph_ev_per_fu": 0.05, "formation_energy_ev_per_fu": -0.83, "n_ef_per_ev_fu": 2.6, "m_tot_mub_per_fu": 0.28}